# Ac6IrPt2Rh (GGA-PBE, relaxed)
# total magnetization = 0.00 μB/f.u.
# formation energy = -0.792 eV per atom
data_Ac6IrPt2Rh
_cell_length_a 7.5689
_cell_length_b 7.5704
_cell_length_c 8.2579
_cell_angle_alpha 62.74
_cell_angle_beta 62.74
_cell_angle_gamma 60.10
_symmetry_space_group_name_H-M 'P 1'
_symmetry_Int_Tables_number 1
loop_
_symmetry_equiv_pos_as_xyz
'x,y,z'
loop_
_atom_site_label
_atom_site_fract_x
_atom_site_fract_y
_atom_site_fract_z
Ac1 0.0000 0.0000 0.0000
Ac2 0.1352 0.8622 0.4992
Ac3 0.3295 0.3644 0.0003
Ac4 0.4960 0.1982 0.4994
Ac5 0.6355 0.6947 0.0000
Ac6 0.8328 0.5010 0.4992
Ir1 0.2331 0.5983 0.2652
Pt1 0.4138 0.7785 0.7231
Pt2 0.9119 0.2776 0.2273
Rh1 0.7322 0.0976 0.7678